<w>
Here is CdHgSb after structural relaxation from Alexandria via LeMat-Bulk. Energies are from PBE.

Cell lengths 5.1666, 5.1666, 3.4806 Å; angles 90.00, 90.00, 120.00 degrees
With the nearest neighbours (Å) after each atom.
Fractional coordinates of all 3 atoms:
Cd 0.0000 0.0000 0.0000  3 Sb 2.98
Hg 0.6667 0.3333 0.4989  6 Sb 3.45-3.46, 6 Cd 3.45-3.46, 2 Hg 3.48
Sb 0.3333 0.6667 0.9971  3 Cd 2.98

Results
- Space group: P3m1

<x>
Here is CdHgSb after structural relaxation from Alexandria via LeMat-Bulk. Energies are from PBE.

Cell lengths 7.7895, 7.6546, 3.2728 Å; angles 80.09, 75.47, 24.45 degrees
With the nearest neighbours (Å) after each atom.
Fractional coordinates of all 3 atoms:
Cd 0.0000 0.0000 0.0000  4 Hg 3.10-3.42, 4 Sb 3.16-3.47, 4 Cd 3.27
Hg 0.6566 0.6566 0.3434  4 Cd 3.10-3.42, 4 Hg 3.27, 2 Sb 3.39
Sb 0.3386 0.3386 0.6614  4 Cd 3.16-3.47, 4 Sb 3.27, 2 Hg 3.39

Results
- Space group: Fmm2

<y>
Here is CdHgSb after structural relaxation from Alexandria via LeMat-Bulk. Energies are from PBE.

Cell lengths 7.4985, 7.4985, 7.4985 Å; angles 154.69, 154.69, 36.09 degrees
With the nearest neighbours (Å) after each atom.
Fractional coordinates of all 3 atoms:
Cd 0.0000 0.0000 0.0000  4 Hg 3.19, 4 Cd 3.29, 4 Sb 3.29
Hg 0.3463 0.3463 0.0000  4 Cd 3.19, 4 Hg 3.29, 4 Sb 3.49
Sb 0.6634 0.6634 0.0000  4 Sb 3.29, 4 Cd 3.29, 4 Hg 3.49

Results
- Space group: I4mm

<z>
Here is CdHgSb after structural relaxation from Alexandria via LeMat-Bulk. Energies are from PBE.

Cell lengths 4.8156, 4.8569, 8.1246 Å; angles 79.51, 78.41, 79.45 degrees
With the nearest neighbours (Å) after each atom.
Fractional coordinates of all 6 atoms:
Cd 0.1961 0.2064 0.0167  4 Sb 2.92-3.08, 3 Cd 3.07-3.22
Cd 0.8039 0.7936 0.9833  4 Sb 2.92-3.08, 3 Cd 3.07-3.22
Hg 0.2516 0.1558 0.5734  1 Hg 2.76, 1 Sb 2.85
Hg 0.7484 0.8442 0.4266  1 Hg 2.76, 1 Sb 2.85
Sb 0.2598 0.6283 0.2151  1 Hg 2.85, 4 Cd 2.92-3.08
Sb 0.7402 0.3717 0.7849  1 Hg 2.85, 4 Cd 2.92-3.08

Results
- Space group: P-1

The winner here is <z>, beating the second structure by 72 meV per atom.

<w>
Here is CdHgSb after structural relaxation from Alexandria via LeMat-Bulk. Energies are from PBE.

Cell lengths 5.0175, 5.0175, 5.0175 Å; angles 60.00, 60.00, 60.00 degrees
With the nearest neighbours (Å) after each atom.
Fractional coordinates of all 3 atoms:
Cd 0.0000 0.0000 0.0000  4 Sb 3.07
Hg 0.5000 0.5000 0.5000  4 Sb 3.07
Sb 0.7500 0.7500 0.7500  4 Cd 3.07, 4 Hg 3.07

Results
- Space group: F-43m

<x>
Here is CdHgSb after structural relaxation from Alexandria via LeMat-Bulk. Energies are from PBE.

Cell lengths 5.7467, 5.7467, 5.7467 Å; angles 146.16, 133.26, 58.94 degrees
With the nearest neighbours (Å) after each atom.
Fractional coordinates of all 3 atoms:
Cd 0.0000 0.0000 0.0000  5 Hg 3.25-3.40, 5 Sb 3.27-3.35, 2 Cd 3.35
Hg 0.6604 0.6604 0.0000  5 Cd 3.25-3.40, 5 Sb 3.26-3.32, 2 Hg 3.35
Sb 0.3348 0.3348 0.0000  5 Hg 3.26-3.32, 5 Cd 3.27-3.35, 2 Sb 3.35

Results
- Space group: Imm2

The winner here is <w>, beating the second structure by 19 meV per atom.

<w>
Here is CdHgSb after structural relaxation from Alexandria via LeMat-Bulk. Energies are from PBE.

Cell lengths 4.0177, 4.0185, 10.8863 Å; angles 90.61, 90.36, 90.13 degrees
With the nearest neighbours (Å) after each atom.
Fractional coordinates of all 6 atoms:
Cd 0.2483 0.2510 0.4093  5 Hg 3.02-3.03
Cd 0.7517 0.7490 0.5907  5 Hg 3.02-3.03
Hg 0.2534 0.2519 0.6866  1 Sb 2.91, 5 Cd 3.02-3.03
Hg 0.7466 0.7481 0.3134  1 Sb 2.91, 5 Cd 3.02-3.03
Sb 0.2499 0.2491 0.9541  1 Hg 2.91, 4 Sb 3.00-3.02
Sb 0.7501 0.7509 0.0459  1 Hg 2.91, 4 Sb 3.00-3.02

Results
- Space group: P-1

<x>
Here is CdHgSb after structural relaxation from Alexandria via LeMat-Bulk. Energies are from PBE.

Cell lengths 6.0879, 6.0879, 6.0879 Å; angles 144.24, 144.24, 51.47 degrees
With the nearest neighbours (Å) after each atom.
Fractional coordinates of all 3 atoms:
Cd 0.0000 0.0000 0.0000  4 Hg 3.16, 4 Sb 3.23
Hg 0.6571 0.6571 0.0000  4 Cd 3.16, 4 Sb 3.26
Sb 0.3313 0.3313 0.0000  4 Cd 3.23, 5 Hg 3.26-3.57

Results
- Space group: I4mm

The winner here is <w>, beating the second structure by 81 meV per atom.

<w>
Here is Cd2HgSb after structural relaxation from Alexandria via LeMat-Bulk. Energies are from PBE.

Cell lengths 5.9442, 5.9442, 5.9442 Å; angles 136.15, 136.15, 63.75 degrees
With the nearest neighbours (Å) after each atom.
Fractional coordinates of all 4 atoms:
Cd 0.0000 0.0000 0.0000  4 Sb 3.14, 4 Cd 3.36, 4 Hg 3.36
Cd 0.7500 0.2500 0.5000  4 Hg 3.14, 4 Cd 3.36, 4 Sb 3.36
Hg 0.2500 0.7500 0.5000  8 Cd 3.14-3.36, 4 Sb 3.36
Sb 0.5000 0.5000 0.0000  8 Cd 3.14-3.36, 4 Hg 3.36

Results
- Space group: I-4m2

<x>
Here is Cd2HgSb after structural relaxation from Alexandria via LeMat-Bulk. Energies are from PBE.

Cell lengths 5.2399, 5.2399, 5.2399 Å; angles 60.00, 60.00, 60.00 degrees
With the nearest neighbours (Å) after each atom.
Fractional coordinates of all 4 atoms:
Cd 0.2500 0.2500 0.2500  4 Hg 3.21, 4 Sb 3.21
Cd 0.7500 0.7500 0.7500  4 Hg 3.21, 4 Sb 3.21
Hg 0.0000 0.0000 0.0000  8 Cd 3.21
Sb 0.5000 0.5000 0.5000  8 Cd 3.21

Results
- Space group: Fm-3m

The winner here is <x>, beating the second structure by 22 meV per atom.

<w>
Here is Cd4HgSb after structural relaxation from Alexandria via LeMat-Bulk. Energies are from PBE.

Cell lengths 4.7722, 10.4658, 6.0616 Å; angles 90.00, 90.00, 90.00 degrees
With the nearest neighbours (Å) after each atom.
Fractional coordinates of all 12 atoms:
Cd 0.2500 0.0661 0.1225  6 Cd 3.03-3.18, 2 Sb 3.07
Cd 0.2500 0.0690 0.6215  6 Cd 3.03-3.18, 2 Hg 3.05
Cd 0.2500 0.4310 0.6215  6 Cd 3.03-3.18, 2 Hg 3.05
Cd 0.2500 0.4339 0.1225  6 Cd 3.03-3.18, 2 Sb 3.07
Cd 0.7500 0.5661 0.8775  6 Cd 3.03-3.18, 2 Sb 3.07
Cd 0.7500 0.5690 0.3785  6 Cd 3.03-3.18, 2 Hg 3.05
Cd 0.7500 0.9310 0.3785  6 Cd 3.03-3.18, 2 Hg 3.05
Cd 0.7500 0.9339 0.8775  6 Cd 3.03-3.18, 2 Sb 3.07
Hg 0.2500 0.7500 0.4025  2 Sb 3.03, 4 Cd 3.05
Hg 0.7500 0.2500 0.5975  2 Sb 3.03, 4 Cd 3.05
Sb 0.2500 0.7500 0.9021  2 Hg 3.03, 4 Cd 3.07
Sb 0.7500 0.2500 0.0979  2 Hg 3.03, 4 Cd 3.07

Results
- Space group: Pmmn

<x>
Here is Cd4HgSb after structural relaxation from Alexandria via LeMat-Bulk. Energies are from PBE.

Cell lengths 5.9561, 5.9561, 5.9561 Å; angles 60.00, 60.00, 60.00 degrees
With the nearest neighbours (Å) after each atom.
Fractional coordinates of all 6 atoms:
Cd 0.1249 0.1249 0.1249  6 Cd 2.98
Cd 0.1249 0.1249 0.6253  6 Cd 2.98
Cd 0.1249 0.6253 0.1249  6 Cd 2.98
Cd 0.6253 0.1249 0.1249  6 Cd 2.98
Hg 0.7500 0.7500 0.7500  12 Cd 3.49, 4 Sb 3.65
Sb 0.5000 0.5000 0.5000  12 Cd 3.49, 4 Hg 3.65

Results
- Space group: F-43m

The winner here is <w>, beating the second structure by 75 meV per atom.

<w>
Here is TlCdHgSb after structural relaxation from Alexandria via LeMat-Bulk. Energies are from PBE.

Cell lengths 4.9112, 4.9112, 6.4917 Å; angles 111.40, 111.40, 59.00 degrees
With the nearest neighbours (Å) after each atom.
Fractional coordinates of all 4 atoms:
Tl 0.0000 0.0000 0.0000  3 Hg 3.20-3.23, 3 Cd 3.42-3.44
Cd 0.2263 0.2263 0.6697  3 Sb 2.89-2.90
Hg 0.7566 0.7566 0.2639  3 Tl 3.20-3.23, 3 Sb 3.31-3.33
Sb 0.5231 0.5231 0.5618  3 Cd 2.89-2.90

Results
- Space group: Cm

<x>
Here is TlCdHgSb after structural relaxation from Alexandria via LeMat-Bulk. Energies are from PBE.

Cell lengths 5.3806, 5.3806, 5.3806 Å; angles 60.00, 60.00, 60.00 degrees
With the nearest neighbours (Å) after each atom.
Fractional coordinates of all 4 atoms:
Tl 0.0000 0.0000 0.0000  4 Hg 3.29, 4 Sb 3.29
Cd 0.5000 0.5000 0.5000  4 Sb 3.29, 4 Hg 3.29
Hg 0.7500 0.7500 0.7500  4 Cd 3.29, 4 Tl 3.29
Sb 0.2500 0.2500 0.2500  4 Cd 3.29, 4 Tl 3.29

Results
- Space group: F-43m

The winner here is <x>, beating the second structure by 7 meV per atom.